[1]
# HgRu2W | Alexandria | PBEsol | optimized geometry
# * electronic total energy: -8.21 eV/atom
# * energy above the lowest structure with this stoichiometry: 0 meV per atom
# * theoretical density: 16.01 g cm⁻³
data_HgRu2W
_cell_length_a 4.120
_cell_length_b 4.120
_cell_length_c 3.584
_cell_angle_alpha 90.00
_cell_angle_beta 90.00
_cell_angle_gamma 90.00
_space_group_name_H-M_alt 'P 4/m m m'
_space_group_IT_number 123
_space_group_name_Hall '-P 4 2'
loop_
_atom_site_label
_atom_site_fract_x
_atom_site_fract_y
_atom_site_fract_z
Hg1 0.000 0.000 0.000
Ru1 0.000 0.500 0.500
W1 0.500 0.500 0.000

---

[2]
# LaRhPb2 | Alexandria | PBEsol | optimized geometry
# * electronic total energy: -5.70 eV/atom
# * theoretical density: 11.23 g cm⁻³
data_LaRhPb2
_cell_length_a 3.425
_cell_length_b 5.384
_cell_length_c 10.526
_cell_angle_alpha 90.00
_cell_angle_beta 90.00
_cell_angle_gamma 90.00
_space_group_name_H-M_alt 'I m m m'
_space_group_IT_number 71
_space_group_name_Hall '-I 2 2'
loop_
_atom_site_label
_atom_site_fract_x
_atom_site_fract_y
_atom_site_fract_z
La1 0.000 0.000 0.000
Rh1 0.000 0.000 0.500
Pb1 0.000 0.500 0.211

---

| no. | Fermi-level density of states (states/eV per cell) | ΔH_f (0 K) (eV per atom) | calculated volume (Å³/cell) |
| --- | --- | --- | --- |
| 1 | 3.5 | 0.47 | 60.8 |
| 2 | 4.4 | -0.33 | 194.1 |